Entry 1:
A relaxed structure of TaZnPb3. Source: Alexandria, functional PBE-GGA.

Results
- SG = No. 221
- formation energy (eV per atom) = 1.19
- offset from the most stable computed form (eV/atom) = 0.628
- magnetization (μB per atom) = 0.549

abc: 5.270 5.270 5.270
angles: 90.00 90.00 90.00
Positions (direct):
Pb  0.000  0.500  0.000
Pb  0.000  0.000  0.500
Pb  0.500  0.000  0.000
Zn  0.000  0.000  0.000
Ta  0.500  0.500  0.500

---

Entry 2:
A relaxed structure of MgCd2F4. Source: Alexandria, functional PBE-GGA.

Results
- SG = No. 139
- magnetization (μB per atom) = 0.000
- electronic total energy (eV per cell) = -26.121

abc: 3.910 3.910 7.363
angles: 74.60 74.60 90.00
Positions (direct):
Mg  0.000  0.000  0.000
F  0.850  0.850  0.299
F  0.150  0.150  0.701
F  0.000  0.500  0.000
F  0.500  0.000  0.000
Cd  0.667  0.667  0.667
Cd  0.333  0.333  0.333

---

Entry 3:
A relaxed structure of La4PtSeI2. Source: Alexandria, functional PBE-GGA.

Results
- SG = No. 10
- magnetization (μB per atom) = 0.000
- electronic total energy (eV per cell) = -43.123

abc: 4.252 7.778 8.175
angles: 107.34 90.00 90.00
Positions (direct):
La  0.500  0.235  0.208
La  0.500  0.765  0.792
La  0.000  0.283  0.800
La  0.000  0.717  0.200
Pt  0.500  0.500  0.000
Se  0.000  0.000  0.000
I  0.500  0.000  0.500
I  0.000  0.500  0.500

---

Entry 4:
A relaxed structure of Sn4HgPb. Source: Alexandria, functional PBE-GGA.

Results
- SG = No. 216
- formation energy (eV per atom) = 0.11
- offset from the most stable computed form (eV/atom) = 0.069
- magnetization (μB per atom) = 0.000

abc: 6.301 6.301 6.301
angles: 60.00 60.00 60.00
Positions (direct):
Pb  0.250  0.250  0.250
Hg  0.000  0.000  0.000
Sn  0.625  0.625  0.125
Sn  0.625  0.125  0.625
Sn  0.625  0.625  0.625
Sn  0.125  0.625  0.625

---

Entry 5:
A relaxed structure of Ce10Bi4C3. Source: Alexandria, functional PBE-GGA.

Results
- SG = No. 139
- formation energy (eV per atom) = -0.52
- magnetization (μB per atom) = 0.450

abc: 4.953 4.953 18.571
angles: 97.66 97.66 90.00
Positions (direct):
Ce  0.134  0.634  0.267
Ce  0.068  0.068  0.137
Ce  0.634  0.134  0.267
Ce  0.866  0.366  0.733
Ce  0.366  0.866  0.733
Ce  0.932  0.932  0.863
Ce  0.207  0.207  0.415
Ce  0.793  0.793  0.585
Ce  0.000  0.500  0.000
Ce  0.500  0.000  0.000
Bi  0.567  0.567  0.134
Bi  0.433  0.433  0.866
Bi  0.300  0.300  0.600
Bi  0.700  0.700  0.400
C  0.141  0.141  0.282
C  0.859  0.859  0.718
C  0.000  0.000  0.000

---

Entry 6:
A relaxed structure of TlSi2Tc. Source: Alexandria, functional PBE-GGA.

Results
- SG = No. 225
- offset from the most stable computed form (eV/atom) = 0.749
- magnetization (μB per atom) = 0.108

abc: 4.591 4.591 4.591
angles: 60.00 60.00 60.00
Positions (direct):
Tl  0.500  0.500  0.500
Si  0.250  0.250  0.250
Si  0.750  0.750  0.750
Tc  0.000  0.000  0.000

---

Entry 7:
A relaxed structure of CaPmEr2S4. Source: Alexandria, functional PBE-GGA.

Results
- SG = No. 10
- magnetization (μB per atom) = 0.000
- electronic total energy (eV per cell) = -48.498

abc: 3.921 6.835 6.847
angles: 70.90 90.00 90.00
Positions (direct):
Ca  0.000  0.500  0.500
Pm  0.500  0.500  0.000
Er  0.000  0.000  0.000
Er  0.500  0.000  0.500
S  0.000  0.762  0.742
S  0.000  0.238  0.258
S  0.500  0.761  0.250
S  0.500  0.239  0.750

---

Entry 8:
A relaxed structure of SbRhIN2. Source: Alexandria, functional PBE-GGA.

Results
- SG = No. 123
- offset from the most stable computed form (eV/atom) = 0.000
- magnetization (μB per atom) = 0.383

abc: 4.143 4.143 5.506
angles: 90.00 90.00 90.00
Positions (direct):
I  0.000  0.000  0.500
Sb  0.500  0.500  0.500
Rh  0.000  0.000  0.000
N  0.000  0.500  0.000
N  0.500  0.000  0.000

---

Entry 9:
A relaxed structure of K2PrNpO4. Source: Alexandria, functional PBE-GGA.

Results
- SG = No. 10
- magnetization (μB per atom) = 0.500
- electronic total energy (eV per cell) = -58.809

abc: 3.617 6.258 6.665
angles: 108.43 90.00 90.00
Positions (direct):
K  0.500  0.000  0.500
K  0.000  0.500  0.500
Pr  0.000  0.000  0.000
Np  0.500  0.500  0.000
O  0.500  0.242  0.193
O  0.500  0.758  0.807
O  0.000  0.283  0.811
O  0.000  0.717  0.189

---

Entry 10:
A relaxed structure of Co2SiIr. Source: Alexandria, functional PBE-GGA.

Results
- SG = No. 47
- magnetization (μB per atom) = 0.714
- electronic total energy (eV per cell) = -29.183

abc: 2.796 4.113 4.220
angles: 90.00 90.00 90.00
Positions (direct):
Co  0.000  0.000  0.000
Co  0.500  0.500  0.000
Ir  0.500  0.000  0.500
Si  0.000  0.500  0.500

---

Entry 11:
A relaxed structure of SrVW2. Source: Alexandria, functional PBE-GGA.

Results
- SG = No. 225
- formation energy (eV per atom) = 1.34
- offset from the most stable computed form (eV/atom) = 0.000
- magnetization (μB per atom) = 0.000

abc: 4.684 4.684 4.684
angles: 60.00 60.00 60.00
Positions (direct):
Sr  0.500  0.500  0.500
W  0.250  0.250  0.250
W  0.750  0.750  0.750
V  0.000  0.000  0.000

---

Entry 12:
A relaxed structure of AlS2NO. Source: Alexandria, functional PBE-GGA.

Results
- SG = No. 123
- offset from the most stable computed form (eV/atom) = 0.200
- magnetization (μB per atom) = 0.000

abc: 4.048 4.048 3.883
angles: 90.00 90.00 90.00
Positions (direct):
S  0.000  0.500  0.000
S  0.500  0.000  0.000
Al  0.500  0.500  0.500
O  0.000  0.000  0.000
N  0.000  0.000  0.500

---

Entry 13:
A relaxed structure of ScFePb. Source: Alexandria, functional PBE-GGA.

Results
- SG = No. 107
- formation energy (eV per atom) = 0.06
- magnetization (μB per atom) = 0.470

abc: 5.600 5.599 3.400
angles: 72.33 72.32 35.35
Positions (direct):
Fe  0.006  0.006  0.994
Pb  0.349  0.349  0.651
Sc  0.645  0.645  0.355

---

Entry 14:
A relaxed structure of Ho3Zn2PtRh3. Source: Alexandria, functional PBE-GGA.

Results
- SG = No. 189
- formation energy (eV per atom) = -0.58
- magnetization (μB per atom) = 0.000

abc: 3.197 7.792 7.792
angles: 120.00 90.00 90.00
Positions (direct):
Ho  0.500  0.712  0.000
Ho  0.500  0.000  0.712
Ho  0.500  0.288  0.288
Zn  0.500  0.667  0.333
Zn  0.500  0.333  0.667
Pt  0.000  0.000  0.000
Rh  0.000  0.601  0.601
Rh  0.000  0.000  0.399
Rh  0.000  0.399  0.000

---

Entry 15:
A relaxed structure of ScTlCl2. Source: Alexandria, functional PBE-GGA.

Results
- SG = No. 1
- offset from the most stable computed form (eV/atom) = 0.133
- magnetization (μB per atom) = 0.000

abc: 10.403 10.399 10.401
angles: 161.44 161.45 26.41
Positions (direct):
Sc  0.553  0.554  0.000
Tl  0.312  0.812  0.500
Cl  0.990  0.990  0.000
Cl  0.644  0.145  0.501

---

Entry 16:
A relaxed structure of NaMgSi2P. Source: Alexandria, functional PBE-GGA.

Results
- SG = No. 123
- magnetization (μB per atom) = 0.000
- electronic total energy (eV per cell) = -13.799

abc: 4.867 5.120 4.867
angles: 90.00 90.00 90.00
Positions (direct):
P  0.500  0.500  0.500
Si  0.000  0.000  0.500
Si  0.500  0.000  0.000
Mg  0.000  0.000  0.000
Na  0.000  0.500  0.000

---

Entry 17:
A relaxed structure of KAl. Source: Alexandria, functional PBE-GGA.

Results
- SG = No. 227
- formation energy (eV per atom) = 0.33
- offset from the most stable computed form (eV/atom) = 0.210
- magnetization (μB per atom) = 0.000

abc: 5.423 5.423 5.423
angles: 60.00 60.00 60.00
Positions (direct):
K  0.500  0.500  0.500
K  0.750  0.750  0.750
Al  0.000  0.000  0.000
Al  0.250  0.250  0.250

---

Entry 18:
A relaxed structure of TlRh2W. Source: Alexandria, functional PBE-GGA.

Results
- SG = No. 216
- formation energy (eV per atom) = 0.53
- offset from the most stable computed form (eV/atom) = 0.540
- magnetization (μB per atom) = 0.000

abc: 4.539 4.539 4.539
angles: 60.00 60.00 60.00
Positions (direct):
Tl  0.500  0.500  0.500
Rh  0.000  0.000  0.000
Rh  0.750  0.750  0.750
W  0.250  0.250  0.250

---

Entry 19:
A relaxed structure of Sc2BePt2. Source: Alexandria, functional PBE-GGA.

Results
- SG = No. 127
- formation energy (eV per atom) = -0.81
- offset from the most stable computed form (eV/atom) = 0.000
- magnetization (μB per atom) = 0.000

abc: 6.660 6.660 3.959
angles: 90.00 90.00 90.00
Positions (direct):
Sc  0.165  0.665  0.500
Sc  0.665  0.835  0.500
Sc  0.835  0.335  0.500
Sc  0.335  0.165  0.500
Be  0.000  0.000  0.000
Be  0.500  0.500  0.000
Pt  0.351  0.851  0.000
Pt  0.851  0.649  0.000
Pt  0.649  0.149  0.000
Pt  0.149  0.351  0.000

---

Entry 20:
A relaxed structure of CaLa3Mn2N6. Source: Alexandria, functional PBE-GGA.

Results
- SG = No. 164
- magnetization (μB per atom) = 0.252
- electronic total energy (eV per cell) = -94.875

abc: 5.867 5.867 6.681
angles: 90.00 90.00 120.00
Positions (direct):
Ca  0.000  0.000  0.500
La  0.333  0.667  0.678
La  0.667  0.333  0.322
La  0.000  0.000  0.000
Mn  0.667  0.333  0.800
Mn  0.333  0.667  0.200
N  0.654  0.827  0.275
N  0.173  0.346  0.275
N  0.173  0.827  0.275
N  0.827  0.654  0.725
N  0.346  0.173  0.725
N  0.827  0.173  0.725